Material: AlTcAsSe2
Method: DFT, PBE
State: relaxed

Results
The calculation puts the raw formation energy at 3.94 eV per formula unit. The value obtained for the calculated volume is 113.86 Å³ per cell. The value obtained for the total energy is -4.358 eV per atom. Its energy relative to the lowest polymorph listed for this composition is 0.359 eV/atom.

abc: 4.8567 4.8567 4.8271
angles: 90.00 90.00 90.00
Space group P4/mmm (No. 123)
Symmetry-distinct sites (fractional):
Al  0.0000  0.0000  0.0000 [1 per cell]
Tc  0.5000  0.5000  0.5000 [1 per cell]
As  0.0000  0.0000  0.5000 [1 per cell]
Se  0.0000  0.5000  0.0000 [2 per cell]